1.
Below is crystalline Dy3Pd5Au at its relaxed geometry, with properties calculated at the PBE level.

## Properties
As for the density of states at the Fermi level: 3.46 states/eV/f.u. Its size of the total moment is 0.000 μB per cell. For the calculated formation energy, the calculation gives -0.536 eV/atom. The crystal system is tetragonal. As for the distance to the lowest polymorph of the same formula: 310 meV per atom.

Cell lengths 8.319, 8.319, 8.059 Å; angles 121.07, 121.07, 90.00 degrees
Sites, in units of the cell vectors:
Dy 0.627 0.127 0.000
Dy 0.373 0.873 0.000
Dy 0.873 0.627 0.000
Dy 0.127 0.373 0.000
Dy 0.250 0.250 0.500
Dy 0.750 0.750 0.500
Pd 0.062 0.562 0.729
Pd 0.668 0.168 0.729
Pd 0.168 0.062 0.729
Pd 0.562 0.668 0.729
Pd 0.938 0.438 0.271
Pd 0.332 0.832 0.271
Pd 0.832 0.938 0.271
Pd 0.438 0.332 0.271
Pd 0.500 0.500 0.000
Pd 0.000 0.000 0.000
Au 0.750 0.250 0.500
Au 0.250 0.750 0.500

---

2.
Below is crystalline Y2Sc2Te at its relaxed geometry, with properties calculated at the PBE level.

## Properties
As for the density of states at the Fermi level: 6.70 states/eV/f.u. Its size of the total moment is 0.001 μB per cell. The crystal system is tetragonal. The formation energy without anion corrections is -293 meV per atom.

Cell lengths 7.648, 7.648, 4.805 Å; angles 90.00, 90.00, 90.00 degrees
Sites, in units of the cell vectors:
Y 0.152 0.652 0.500
Y 0.652 0.848 0.500
Y 0.848 0.348 0.500
Y 0.348 0.152 0.500
Sc 0.358 0.858 0.000
Sc 0.858 0.642 0.000
Sc 0.642 0.142 0.000
Sc 0.142 0.358 0.000
Te 0.000 0.000 0.000
Te 0.500 0.500 0.000

---

3.
Below is crystalline TlAg5F7 at its relaxed geometry, with properties calculated at the PBE level.

## Properties
As for the density of states at the Fermi level: 11.37 states/eV/f.u. Its size of the total moment is 0.000 μB per cell. The crystal system is monoclinic. The formation energy without anion corrections is -1143 meV per atom.

Cell lengths 3.780, 6.227, 19.314 Å; angles 90.03, 90.00, 107.67 degrees
Sites, in units of the cell vectors:
Tl 0.790 0.581 0.250
Tl 0.210 0.420 0.750
Ag 0.000 0.001 0.999
Ag 0.721 0.443 0.931
Ag 0.279 0.558 0.069
Ag 0.539 0.079 0.355
Ag 0.461 0.923 0.645
Ag 0.000 0.001 0.500
Ag 0.279 0.558 0.431
Ag 0.721 0.443 0.569
Ag 0.461 0.922 0.855
Ag 0.539 0.079 0.145
F 0.456 0.911 0.250
F 0.545 0.090 0.750
F 0.633 0.265 0.036
F 0.367 0.735 0.964
F 0.368 0.736 0.536
F 0.633 0.266 0.464
F 0.169 0.338 0.162
F 0.832 0.664 0.839
F 0.832 0.664 0.662
F 0.169 0.337 0.338
F 0.906 0.811 0.107
F 0.096 0.191 0.893
F 0.095 0.191 0.607
F 0.905 0.810 0.393

---

4.
Below is crystalline AgSb2 at its relaxed geometry, with properties calculated at the PBE level.

## Properties
As for the density of states at the Fermi level: 1.72 states/eV/f.u. Its size of the total moment is 0.000 μB per cell. The crystal system is hexagonal. The formation energy without anion corrections is 435 meV per atom.

Cell lengths 6.085, 6.085, 11.047 Å; angles 90.00, 90.00, 120.00 degrees
Sites, in units of the cell vectors:
Sb 0.000 0.000 0.000
Sb 0.000 0.000 0.500
Sb 0.826 0.652 0.250
Sb 0.174 0.348 0.750
Sb 0.348 0.174 0.250
Sb 0.826 0.174 0.250
Sb 0.174 0.826 0.750
Sb 0.652 0.826 0.750
Ag 0.333 0.667 0.983
Ag 0.667 0.333 0.483
Ag 0.667 0.333 0.017
Ag 0.333 0.667 0.517

---

5.
Below is crystalline LiCaFe at its relaxed geometry, with properties calculated at the PBE level.

## Properties
As for the density of states at the Fermi level: 7.06 states/eV/f.u. Its size of the total moment is 2.549 μB per cell. For the calculated formation energy, the calculation gives 0.782 eV/atom. The crystal system is cubic. As for the distance to the lowest polymorph of the same formula: 528 meV per atom.

Cell lengths 4.787, 4.787, 4.787 Å; angles 60.00, 60.00, 60.00 degrees
Sites, in units of the cell vectors:
Ca 0.500 0.500 0.500
Fe 0.750 0.750 0.750
Li 0.000 0.000 0.000

---

6.
Below is crystalline Cu3Pd4Au2 at its relaxed geometry, with properties calculated at the PBE level.

## Properties
As for the density of states at the Fermi level: 4.86 states/eV/f.u. Its size of the total moment is 0.000 μB per cell. For the calculated formation energy, the calculation gives -0.095 eV/atom. The crystal system is monoclinic. As for the distance to the lowest polymorph of the same formula: 0 meV per atom.

Cell lengths 4.000, 4.807, 8.178 Å; angles 107.58, 90.00, 114.59 degrees
Sites, in units of the cell vectors:
Cu 0.658 0.317 0.557
Cu 0.000 0.000 0.000
Cu 0.342 0.683 0.443
Pd 0.338 0.676 0.112
Pd 0.986 0.971 0.659
Pd 0.014 0.029 0.341
Pd 0.662 0.324 0.888
Au 0.676 0.353 0.233
Au 0.324 0.647 0.767

---

7.
Below is crystalline CuPdCl3 at its relaxed geometry, with properties calculated at the PBE level.

## Properties
As for the density of states at the Fermi level: 3.30 states/eV/f.u. Its size of the total moment is 3.551 μB per cell. The crystal system is trigonal. The formation energy without anion corrections is -316 meV per atom. As for the distance to the lowest polymorph of the same formula: 94 meV per atom.

Cell lengths 6.330, 6.330, 6.845 Å; angles 62.46, 62.46, 60.00 degrees
Sites, in units of the cell vectors:
Cu 0.845 0.845 0.464
Cu 0.155 0.155 0.536
Pd 0.341 0.341 0.977
Pd 0.659 0.659 0.023
Cl 0.758 0.431 0.742
Cl 0.069 0.758 0.742
Cl 0.431 0.069 0.742
Cl 0.242 0.569 0.258
Cl 0.931 0.242 0.258
Cl 0.569 0.931 0.258

---

8.
Below is crystalline InSiAu at its relaxed geometry, with properties calculated at the PBE level.

## Properties
As for the density of states at the Fermi level: 0.87 states/eV/f.u. Its size of the total moment is 0.000 μB per cell. The crystal system is triclinic. The formation energy without anion corrections is 37 meV per atom.

Cell lengths 3.816, 6.389, 6.213 Å; angles 114.76, 77.32, 82.87 degrees
Sites, in units of the cell vectors:
Si 0.405 0.220 0.968
Si 0.006 0.161 0.717
Au 0.335 0.052 0.266
Au 0.707 0.443 0.567
In 0.263 0.657 0.375
In 0.009 0.737 0.934

---

- size of the total moment of number 1 (Dy3Pd5Au)?
  0.000 μB per cell

---

- The highest size of the total moment belongs to which entry?
  CuPdCl3

---

- Among the records above, which one has the highest size of the total moment?
  CuPdCl3

---

- Which of these has the highest size of the total moment?
  CuPdCl3